Material: LiPm4Y5
Method: DFT, PBE-GGA
State: optimized geometry

Computed properties:
Crystal system: tetragonal
Energy of formation from the pure elements: 0.03 eV per atom
E_tot: -52.90 eV for the cell shown
Magnetization: 0.0 μB per formula unit

a b c (Å): 3.6329 3.6329 24.1292
angles (deg): 90.00 90.00 90.00
With the nearest neighbours (Å) after each atom.
Space group P4/mmm (No. 123)
Inequivalent atoms, fractional coordinates:
Li  0.0000  0.0000  0.0000 (multiplicity 1)  8 Y 3.22
Pm  0.0000  0.0000  0.1843 (multiplicity 2)  8 Y 3.59-3.61, 4 Pm 3.63
Pm  0.0000  0.0000  0.3948 (multiplicity 2)  8 Y 3.61, 4 Pm 3.63
Y  0.5000  0.5000  0.0804 (multiplicity 2)  4 Li 3.22, 4 Pm 3.59
Y  0.5000  0.5000  0.2897 (multiplicity 2)  8 Pm 3.61, 4 Y 3.63
Y  0.5000  0.5000  0.5000 (multiplicity 1)  8 Pm 3.61, 4 Y 3.63

=====

Material: SnWSN2
Method: DFT, PBE-GGA
State: optimized geometry

Computed properties:
ΔE_f (raw): 1.8126 eV per atom
Crystal system: tetragonal
E_tot: -28.67 eV for the cell shown
Magnetization: 2.0 μB per formula unit

a b c (Å): 4.0622 4.0622 5.0040
angles (deg): 90.00 90.00 90.00
With the nearest neighbours (Å) after each atom.
Space group P4/mmm (No. 123)
Inequivalent atoms, fractional coordinates:
Sn  0.0000  0.0000  0.0000 (multiplicity 1)  4 N 2.03
W  0.5000  0.5000  0.5000 (multiplicity 1)  4 S 2.87
S  0.0000  0.0000  0.5000 (multiplicity 1)  2 Sn 2.50
N  0.0000  0.5000  0.0000 (multiplicity 2)  2 Sn 2.03

=====

Material: La2HoHg6
Method: DFT, PBE-GGA
State: optimized geometry

Computed properties:
Crystal system: hexagonal
Energy of formation from the pure elements: -0.44 eV per atom
E_tot: -20.20 eV for the cell shown
Magnetization: 0.4 μB per formula unit

a b c (Å): 8.7726 8.7726 3.5046
angles (deg): 90.00 90.00 120.00
With the nearest neighbours (Å) after each atom.
Space group P6/mmm (No. 191)
Inequivalent atoms, fractional coordinates:
La  0.3333  0.6667  0.0000 (multiplicity 2)  12 Hg 3.42, 2 La 3.50
Ho  0.0000  0.0000  0.0000 (multiplicity 1)  12 Hg 3.38, 2 Ho 3.50
Hg  0.0000  0.3292  0.5000 (multiplicity 6)  3 Hg 2.89-3.00

=====

Material: Cu3PbS
Method: DFT, PBE-GGA
State: optimized geometry

Computed properties:
ΔE_f (raw): 0.2860 eV per atom
Crystal system: cubic
E_tot: -18.69 eV for the cell shown
Magnetization: 0.0 μB per formula unit

a b c (Å): 4.5170 4.5170 4.5170
angles (deg): 90.00 90.00 90.00
With the nearest neighbours (Å) after each atom.
Space group Pm-3m (No. 221)
Inequivalent atoms, fractional coordinates:
Cu  0.0000  0.0000  0.5000 (multiplicity 3)  2 S 2.26
Pb  0.5000  0.5000  0.5000 (multiplicity 1)  12 Cu 3.19
S  0.0000  0.0000  0.0000 (multiplicity 1)  6 Cu 2.26

=====

Material: TlInAs2Br
Method: DFT, PBE-GGA
State: optimized geometry

Computed properties:
ΔE_f (raw): 0.2718 eV per atom
Crystal system: tetragonal
E_tot: -14.72 eV for the cell shown
Magnetization: 1.2 μB per formula unit

a b c (Å): 5.2714 5.2714 5.9032
angles (deg): 90.00 90.00 90.00
With the nearest neighbours (Å) after each atom.
Space group P4/mmm (No. 123)
Inequivalent atoms, fractional coordinates:
Tl  0.0000  0.0000  0.0000 (multiplicity 1)  4 Br 3.73, 8 As 3.96
In  0.5000  0.5000  0.5000 (multiplicity 1)  4 As 2.64, 2 Br 2.95
As  0.0000  0.5000  0.5000 (multiplicity 2)  2 In 2.64
Br  0.5000  0.5000  0.0000 (multiplicity 1)  2 In 2.95

=====

Material: VNi2B
Method: DFT, PBE-GGA
State: optimized geometry

Computed properties:
Crystal system: trigonal
Energy of formation from the pure elements: 0.05 eV per atom
E_tot: -81.49 eV for the cell shown
Magnetization: 0.0 μB per formula unit

a b c (Å): 3.6085 3.6085 11.1202
angles (deg): 90.00 90.00 120.00
With the nearest neighbours (Å) after each atom.
Space group R-3m (No. 166, hexagonal axes)
Inequivalent atoms, fractional coordinates:
V  0.0000  0.0000  0.0000 (multiplicity 3)  8 Ni 2.43-2.46
Ni  0.0000  0.0000  0.2215 (multiplicity 6)  3 B 2.17, 3 Ni 2.41, 3 V 2.43
B  0.0000  0.0000  0.5000 (multiplicity 3)  6 Ni 2.17

=====

Material: Ba5H4N
Method: DFT, PBE-GGA
State: optimized geometry

Computed properties:
Crystal system: tetragonal
E_tot: -69.36 eV for the cell shown
Magnetization: 1.2 μB per formula unit

a b c (Å): 9.2393 9.2393 5.8210
angles (deg): 90.00 90.00 90.00
With the nearest neighbours (Å) after each atom.
Space group I4 (No. 79)
Inequivalent atoms, fractional coordinates:
Ba  0.0000  0.0000  0.0002 (multiplicity 2)  4 H 2.88, 2 N 2.91-2.92
Ba  0.0802  0.7188  0.5000 (multiplicity 8)  1 N 2.70, 4 H 2.85-2.99
H  0.1053  0.7068  0.0001 (multiplicity 8)  5 Ba 2.85-2.99
N  0.0000  0.0000  0.5010 (multiplicity 2)  6 Ba 2.70-2.92

=====

Material: Pm2HfPb
Method: DFT, PBE-GGA
State: optimized geometry

Computed properties:
Crystal system: tetragonal
Energy of formation from the pure elements: -0.10 eV per atom
E_tot: -23.55 eV for the cell shown
Magnetization: 0.0 μB per formula unit

a b c (Å): 3.4174 3.4174 9.9060
angles (deg): 90.00 90.00 90.00
With the nearest neighbours (Å) after each atom.
Space group P4/mmm (No. 123)
Inequivalent atoms, fractional coordinates:
Pm  0.0000  0.0000  0.2439 (multiplicity 2)  4 Pm 3.42, 4 Hf 3.42, 4 Pb 3.50
Hf  0.5000  0.5000  0.0000 (multiplicity 1)  4 Hf 3.42, 8 Pm 3.42
Pb  0.5000  0.5000  0.5000 (multiplicity 1)  4 Pb 3.42, 8 Pm 3.50

=====

Material: In3AgPb
Method: DFT, PBE-GGA
State: optimized geometry

Computed properties:
Crystal system: cubic
Energy of formation from the pure elements: 0.25 eV per atom
E_tot: -13.53 eV for the cell shown
Magnetization: 0.0 μB per formula unit

a b c (Å): 5.3611 5.3611 5.3611
angles (deg): 90.00 90.00 90.00
With the nearest neighbours (Å) after each atom.
Space group Pm-3m (No. 221)
Inequivalent atoms, fractional coordinates:
In  0.0000  0.0000  0.5000 (multiplicity 3)  2 Ag 2.68
Ag  0.0000  0.0000  0.0000 (multiplicity 1)  6 In 2.68
Pb  0.5000  0.5000  0.5000 (multiplicity 1)  12 In 3.79

=====

Material: Cs4Ac3TmS8
Method: DFT, PBE-GGA
State: optimized geometry

Computed properties:
ΔE_f (raw): -1.8401 eV per atom
Crystal system: trigonal
E_tot: -248.02 eV for the cell shown
Magnetization: 0.0 μB per formula unit

a b c (Å): 8.7659 8.7659 24.3462
angles (deg): 90.00 90.00 120.00
With the nearest neighbours (Å) after each atom.
Space group R-3m (No. 166, hexagonal axes)
Inequivalent atoms, fractional coordinates:
Cs  0.0000  0.0000  0.0000 (multiplicity 3)  6 S 3.70
Cs  0.0000  0.5000  0.0000 (multiplicity 9)  6 S 3.54
Ac  0.0000  0.5000  0.5000 (multiplicity 9)  6 S 2.98-3.01
Tm  0.0000  0.0000  0.5000 (multiplicity 3)  6 S 2.81
S  0.0000  0.0000  0.2317 (multiplicity 6)  3 Ac 2.98
S  0.0202  0.5101  0.2286 (multiplicity 18)  1 Tm 2.81, 2 Ac 3.01

=====

Material: K2GeH5
Method: DFT, PBE-GGA
State: optimized geometry

Computed properties:
Crystal system: tetragonal
E_tot: -46.99 eV for the cell shown
Magnetization: 0.0 μB per formula unit

a b c (Å): 5.7805 5.7805 7.6733
angles (deg): 90.00 90.00 90.00
With the nearest neighbours (Å) after each atom.
Space group I4mm (No. 107)
Inequivalent atoms, fractional coordinates:
K  0.0000  0.5000  0.0000 (multiplicity 4)  10 H 2.77-2.91
Ge  0.0000  0.0000  0.2455 (multiplicity 2)  5 H 1.59-1.78
H  0.0000  0.0000  0.4533 (multiplicity 2)  1 Ge 1.59
H  0.2171  0.2171  0.2404 (multiplicity 8)  1 Ge 1.78

=====

Material: NaTcW2
Method: DFT, PBE-GGA
State: optimized geometry

Computed properties:
Crystal system: tetragonal
Energy of formation from the pure elements: 1.33 eV per atom
E_tot: -129.09 eV for the cell shown
Magnetization: 0.0 μB per formula unit

a b c (Å): 7.4182 7.4182 5.4207
angles (deg): 90.00 90.00 90.00
With the nearest neighbours (Å) after each atom.
Space group I-42d (No. 122)
Inequivalent atoms, fractional coordinates:
Na  0.0000  0.0000  0.0000 (multiplicity 4)  2 Tc 2.71, 4 W 2.97
Tc  0.0000  0.0000  0.5000 (multiplicity 4)  4 W 2.47, 2 Na 2.71
W  0.2010  0.7500  0.6250 (multiplicity 8)  2 Tc 2.47

=====

Material: NbCrTcSb
Method: DFT, PBE-GGA
State: optimized geometry

Computed properties:
ΔE_f (raw): 0.0013 eV per atom
Crystal system: cubic
E_tot: -136.71 eV for the cell shown
Magnetization: 0.9 μB per formula unit

a b c (Å): 6.3536 6.3536 6.3536
angles (deg): 90.00 90.00 90.00
With the nearest neighbours (Å) after each atom.
Space group F-43m (No. 216)
Inequivalent atoms, fractional coordinates:
Nb  0.0000  0.0000  0.0000 (multiplicity 4)  4 Cr 2.75, 4 Tc 2.75
Cr  0.2500  0.2500  0.2500 (multiplicity 4)  4 Nb 2.75, 4 Sb 2.75
Tc  0.2500  0.2500  0.7500 (multiplicity 4)  4 Nb 2.75, 4 Sb 2.75
Sb  0.0000  0.0000  0.5000 (multiplicity 4)  4 Tc 2.75, 4 Cr 2.75

=====

Material: Zr5TlCd2
Method: DFT, PBE-GGA
State: optimized geometry

Computed properties:
Crystal system: tetragonal
Energy of formation from the pure elements: 0.03 eV per atom
E_tot: -186.66 eV for the cell shown
Magnetization: 3.2 μB per formula unit

a b c (Å): 7.6869 7.6869 12.4730
angles (deg): 90.00 90.00 90.00
With the nearest neighbours (Å) after each atom.
Space group I4/mcm (No. 140)
Inequivalent atoms, fractional coordinates:
Zr  0.0000  0.0000  0.0000 (multiplicity 4)  4 Cd 2.97, 2 Tl 3.12
Zr  0.1540  0.3460  0.1610 (multiplicity 16)  3 Cd 3.01-3.02, 4 Zr 3.05-3.35, 2 Tl 3.12
Tl  0.0000  0.0000  0.2500 (multiplicity 4)  10 Zr 3.12
Cd  0.1395  0.3605  0.5000 (multiplicity 8)  8 Zr 2.97-3.02, 1 Cd 3.03

=====

Material: Ba2AcTi2O7
Method: DFT, PBE-GGA
State: optimized geometry

Computed properties:
ΔE_f (raw): -3.0790 eV per atom
Crystal system: tetragonal
E_tot: -190.80 eV for the cell shown
Magnetization: 0.6 μB per formula unit

a b c (Å): 4.0429 4.0429 21.4138
angles (deg): 90.00 90.00 90.00
With the nearest neighbours (Å) after each atom.
Space group I4/mmm (No. 139)
Inequivalent atoms, fractional coordinates:
Ba  0.0000  0.0000  0.1830 (multiplicity 4)  9 O 2.78-2.86
Ac  0.0000  0.0000  0.0000 (multiplicity 2)  12 O 2.78-2.86
Ti  0.0000  0.0000  0.4054 (multiplicity 4)  6 O 1.98-2.03
O  0.0000  0.0000  0.3128 (multiplicity 4)  1 Ti 1.98
O  0.0000  0.0000  0.5000 (multiplicity 2)  2 Ti 2.03
O  0.0000  0.5000  0.0888 (multiplicity 8)  2 Ti 2.03

=====

Material: PmSm2Os
Method: DFT, PBE-GGA
State: optimized geometry

Computed properties:
Crystal system: orthorhombic
Energy of formation from the pure elements: -0.15 eV per atom
E_tot: -104.03 eV for the cell shown
Magnetization: 0.0 μB per formula unit

a b c (Å): 7.4727 9.4357 6.4867
angles (deg): 90.00 90.00 90.00
With the nearest neighbours (Å) after each atom.
Space group Pnma (No. 62)
Inequivalent atoms, fractional coordinates:
Pm  0.0416  0.2500  0.1363 (multiplicity 4)  2 Os 2.83-2.91
Sm  0.1748  0.0653  0.6689 (multiplicity 8)  2 Os 2.89-2.98
Os  0.1147  0.7500  0.4527 (multiplicity 4)  2 Pm 2.83-2.91, 4 Sm 2.89-2.98

=====

Material: GdScCd2
Method: DFT, PBE-GGA
State: optimized geometry

Computed properties:
Crystal system: cubic
Energy of formation from the pure elements: -0.30 eV per atom
E_tot: -93.74 eV for the cell shown
Magnetization: 7.6 μB per formula unit

a b c (Å): 7.3313 7.3313 7.3313
angles (deg): 90.00 90.00 90.00
With the nearest neighbours (Å) after each atom.
Space group Fm-3m (No. 225)
Inequivalent atoms, fractional coordinates:
Gd  0.0000  0.0000  0.0000 (multiplicity 4)  8 Cd 3.17
Sc  0.0000  0.0000  0.5000 (multiplicity 4)  8 Cd 3.17
Cd  0.2500  0.2500  0.2500 (multiplicity 8)  4 Gd 3.17, 4 Sc 3.17

=====

Material: La2YAs
Method: DFT, PBE-GGA
State: optimized geometry

Computed properties:
Crystal system: orthorhombic
Energy of formation from the pure elements: -0.61 eV per atom
E_tot: -46.81 eV for the cell shown
Magnetization: 0.0 μB per formula unit

a b c (Å): 4.7601 4.2353 12.1044
angles (deg): 90.00 90.00 90.00
With the nearest neighbours (Å) after each atom.
Space group Amm2 (No. 38)
Inequivalent atoms, fractional coordinates:
La  0.0000  0.0000  0.0000 (multiplicity 2)  3 As 3.31-3.47, 4 Y 3.37
La  0.5000  0.0000  0.3001 (multiplicity 2)  4 As 3.31, 3 Y 3.31-3.51
Y  0.5000  0.0000  0.5898 (multiplicity 2)  2 As 2.90
As  0.0000  0.0000  0.7267 (multiplicity 2)  2 Y 2.90

=====

Material: YMoN3
Method: DFT, PBE-GGA
State: optimized geometry

Computed properties:
ΔE_f (raw): -0.2996 eV per atom
Crystal system: hexagonal
E_tot: -87.54 eV for the cell shown
Magnetization: 0.0 μB per formula unit

a b c (Å): 3.9645 3.9645 8.2936
angles (deg): 90.00 90.00 120.00
With the nearest neighbours (Å) after each atom.
Space group P6_3/mmc (No. 194)
Inequivalent atoms, fractional coordinates:
Y  0.3333  0.6667  0.2500 (multiplicity 2)  5 N 2.29-2.36
Mo  0.0000  0.0000  0.0000 (multiplicity 2)  8 N 2.07-2.31
N  0.0000  0.0000  0.2500 (multiplicity 2)  2 Mo 2.07, 3 Y 2.29
N  0.3333  0.6667  0.5343 (multiplicity 4)  3 Mo 2.31, 1 Y 2.36, 3 N 2.36

=====

Material: NdGdTl
Method: DFT, PBE-GGA
State: optimized geometry

Computed properties:
Crystal system: cubic
Energy of formation from the pure elements: -0.08 eV per atom
E_tot: -85.85 eV for the cell shown
Magnetization: 8.3 μB per formula unit

a b c (Å): 7.4835 7.4835 7.4835
angles (deg): 90.00 90.00 90.00
With the nearest neighbours (Å) after each atom.
Space group F-43m (No. 216)
Inequivalent atoms, fractional coordinates:
Nd  0.0000  0.0000  0.0000 (multiplicity 4)  4 Tl 3.24
Gd  0.0000  0.0000  0.5000 (multiplicity 4)  4 Tl 3.24
Tl  0.2500  0.2500  0.7500 (multiplicity 4)  4 Gd 3.24, 4 Nd 3.24